[1]
# TbPrY2Sc4

A geometry-optimized TbPrY2Sc4 structure (PBE-GGA, the Alexandria database).

CIF file:
```
data_TbPrY2Sc4
_symmetry_space_group_name_H-M 'P 1'
_symmetry_Int_Tables_number 1
_cell_length_a 9.128
_cell_length_b 9.128
_cell_length_c 11.351
_cell_angle_alpha 128.45
_cell_angle_beta 128.45
_cell_angle_gamma 88.14
loop_
_symmetry_equiv_pos_as_xyz
'x,y,z'
loop_
_atom_site_label
_atom_site_type_symbol
_atom_site_fract_x
_atom_site_fract_y
_atom_site_fract_z
_atom_site_occupancy
Sc1 Sc 0.751 0.749 0.500 1
Sc2 Sc 0.753 0.250 0.502 1
Sc3 Sc 0.750 0.253 0.002 1
Sc4 Sc 0.250 0.747 0.998 1
Sc5 Sc 0.249 0.251 0.500 1
Sc6 Sc 0.249 0.251 0.000 1
Sc7 Sc 0.247 0.750 0.498 1
Sc8 Sc 0.751 0.749 0.000 1
Y1 Y 0.000 0.000 0.500 1
Y2 Y 0.500 0.000 0.500 1
Y3 Y 0.500 0.500 0.000 1
Y4 Y 0.500 0.000 0.000 1
Tb1 Tb 0.000 0.500 0.500 1
Tb2 Tb 0.000 0.500 0.000 1
Pr1 Pr 0.000 0.000 0.000 1
Pr2 Pr 0.500 0.500 0.500 1
```

As for the formation energy: 0.43 eV per atom.

[2]
# K3Ce3AgS8

A geometry-optimized K3Ce3AgS8 structure (PBE-GGA, the Alexandria database).

CIF file:
```
data_K3Ce3AgS8
_symmetry_space_group_name_H-M 'P 1'
_symmetry_Int_Tables_number 1
_cell_length_a 8.163
_cell_length_b 8.158
_cell_length_c 8.736
_cell_angle_alpha 117.82
_cell_angle_beta 90.00
_cell_angle_gamma 120.01
loop_
_symmetry_equiv_pos_as_xyz
'x,y,z'
loop_
_atom_site_label
_atom_site_type_symbol
_atom_site_fract_x
_atom_site_fract_y
_atom_site_fract_z
_atom_site_occupancy
S1 S 0.717 0.957 0.697 1
S2 S 0.265 0.529 0.294 1
S3 S 0.283 0.043 0.303 1
S4 S 0.735 0.471 0.706 1
S5 S 0.761 0.521 0.304 1
S6 S 0.760 0.043 0.303 1
S7 S 0.239 0.479 0.696 1
S8 S 0.240 0.957 0.697 1
K1 K 0.000 0.000 0.000 1
K2 K 0.500 0.500 0.000 1
K3 K 0.000 0.500 0.000 1
Ce1 Ce 0.500 0.000 0.500 1
Ce2 Ce 0.000 0.500 0.500 1
Ce3 Ce 0.500 0.500 0.500 1
Ag1 Ag 0.000 0.000 0.500 1
```

The value obtained for the formation energy (no corrections) is -140.6 kJ per mole of atoms.

[3]
# Tm3Te4

A geometry-optimized Tm3Te4 structure (PBE-GGA, the Alexandria database).

CIF file:
```
data_Tm3Te4
_symmetry_space_group_name_H-M 'P 1'
_symmetry_Int_Tables_number 1
_cell_length_a 6.081
_cell_length_b 6.081
_cell_length_c 7.374
_cell_angle_alpha 114.35
_cell_angle_beta 114.35
_cell_angle_gamma 90.00
loop_
_symmetry_equiv_pos_as_xyz
'x,y,z'
loop_
_atom_site_label
_atom_site_type_symbol
_atom_site_fract_x
_atom_site_fract_y
_atom_site_fract_z
_atom_site_occupancy
Te1 Te 0.257 0.257 0.513 1
Te2 Te 0.743 0.743 0.487 1
Te3 Te 0.500 0.000 0.000 1
Te4 Te 0.000 0.500 0.000 1
Tm1 Tm 0.750 0.250 0.500 1
Tm2 Tm 0.000 0.000 0.000 1
Tm3 Tm 0.250 0.750 0.500 1
```

The calculation puts the energy above the most stable polymorph in this dataset at 0.0 meV/atom. The value obtained for the formation energy (no corrections) is -125.2 kJ per mole of atoms.